Record 1
DFT (GGA-PBE) results for a geometry-optimized Pr6TlSi2Te3 structure.

Output
Formation energy from raw total energies in eV/f.u.: -12.3
Theoretical density in g/cm³: 6.498
VASP energy in eV/cell: -63.6
DOS at the Fermi energy in states/eV/cell: 6.42

Unit cell a=10.0387 b=10.0387 c=9.0948 alpha=104.18 beta=104.18 gamma=25.39
Element x y z (fractional)
Pr  0.0082  0.0082  0.2585
Pr  0.3270  0.3270  0.4326
Pr  0.3306  0.3306  0.8953
Pr  0.6694  0.6694  0.1047
Pr  0.6730  0.6730  0.5674
Pr  0.9918  0.9918  0.7415
Tl  0.5000  0.5000  0.0000
Si  0.1674  0.1674  0.3337
Si  0.8326  0.8326  0.6663
Te  0.1642  0.1642  0.8316
Te  0.5000  0.5000  0.5000
Te  0.8358  0.8358  0.1684

***

Record 2
DFT (GGA-PBE) results for a geometry-optimized PrTh2Si structure.

Output
Formation energy from raw total energies in eV/f.u.: 0.2
Theoretical density in g/cm³: 7.827
Energy relative to the lowest polymorph listed for this composition in meV per atom: 204
VASP energy in eV/cell: -24.8
DOS at the Fermi energy in states/eV/cell: 5.31

Unit cell a=10.7386 b=10.7386 c=10.7386 alpha=20.61 beta=20.61 gamma=20.61
Element x y z (fractional)
Pr  0.0000  0.0000  0.0000
Th  0.1094  0.1094  0.1094
Th  0.8906  0.8906  0.8906
Si  0.5000  0.5000  0.5000